Material: V4Ga2Mo
Method: DFT, PBE-GGA
State: relaxed

Values from the calculation:
DFT formation energy: 958 meV/atom
V: 133.9 Å³/cell
relative energy among the computed polymorphs: 947 meV per atom

Cell lengths 7.3508, 7.3508, 7.3508 Å; angles 144.40, 144.40, 51.23 degrees
Last column: nearest neighbours and their distance in Å.
Fractional positions:
1 V 0.0000 0.5000 0.5000  2 Mo 2.25
2 V 0.1827 0.1827 0.0000  1 Mo 2.42, 1 Ga 2.58
3 V 0.5000 0.0000 0.5000  2 Mo 2.25
4 V 0.8173 0.8173 0.0000  1 Mo 2.42, 1 Ga 2.58
5 Ga 0.3770 0.3770 0.0000  5 V 2.58-2.78
6 Ga 0.6230 0.6230 0.0000  5 V 2.58-2.78
7 Mo 0.0000 0.0000 0.0000  6 V 2.25-2.42